VASP calculation (PBE) on crystalline NiRuAu2 at its relaxed geometry.

ΔH_f (0 K) = 0.237 eV/atom
SG = R3m

Unit cell a=9.2601 b=9.2601 c=9.2601 alpha=17.39 beta=17.39 gamma=17.39
Last column: nearest neighbours and their distance in Å.
Fractional positions:
Ni  0.0000  0.0000  0.0000  3 Ru 2.51, 3 Au 2.73, 6 Ni 2.80
Ru  0.7367  0.7367  0.7367  3 Ni 2.51, 6 Ru 2.80
Au  0.2530  0.2530  0.2530  3 Ni 2.73, 6 Au 2.80
Au  0.4912  0.4912  0.4912  9 Au 2.80-3.07, 3 Ru 2.89

***

VASP calculation (PBE) on crystalline Nb3NiS6 at its relaxed geometry.

SG = Cmc2_1
electronic total energy = -6.840 eV per atom

Unit cell a=7.7477 b=7.7477 c=5.8907 alpha=90.00 beta=90.00 gamma=101.23
Last column: nearest neighbours and their distance in Å.
Fractional positions:
Nb  0.1016  0.8984  0.5000  7 S 2.46-2.71, 1 Ni 2.74
Nb  0.2374  0.4513  0.5951  7 S 2.47-2.66
Nb  0.4513  0.2374  0.0951  7 S 2.47-2.66
Nb  0.5487  0.7626  0.5951  7 S 2.47-2.66
Nb  0.7626  0.5487  0.0951  7 S 2.47-2.66
Nb  0.8984  0.1016  0.0000  7 S 2.46-2.71, 1 Ni 2.74
Ni  0.2773  0.7227  0.2030  4 S 2.16-2.33
Ni  0.7227  0.2773  0.7030  4 S 2.16-2.33
S  0.0316  0.5959  0.3541  1 Ni 2.16
S  0.1385  0.1983  0.2964  4 Nb 2.56-2.66
S  0.1983  0.1385  0.7964  4 Nb 2.56-2.66
S  0.2700  0.7300  0.8083  1 Ni 2.33, 2 Nb 2.47
S  0.4041  0.9684  0.3541  1 Ni 2.16
S  0.4594  0.5406  0.2618  1 Ni 2.21
S  0.5406  0.4594  0.7618  1 Ni 2.21
S  0.5959  0.0316  0.8541  1 Ni 2.16
S  0.7300  0.2700  0.3083  1 Ni 2.33, 2 Nb 2.47
S  0.8017  0.8615  0.2964  4 Nb 2.56-2.66
S  0.8615  0.8017  0.7964  4 Nb 2.56-2.66
S  0.9684  0.4041  0.8541  1 Ni 2.16

***

VASP calculation (PBE) on crystalline Mg2Mo at its relaxed geometry.

ΔH_f (0 K) = 0.271 eV/atom
SG = C2/m

Unit cell a=5.8949 b=5.8949 c=6.9418 alpha=101.27 beta=101.27 gamma=28.21
Last column: nearest neighbours and their distance in Å.
Fractional positions:
Mg  0.1245  0.1245  0.0215  6 Mg 2.80-3.11, 4 Mo 3.01-3.07
Mg  0.1970  0.1970  0.6447  7 Mg 2.87-3.11, 5 Mo 2.96-3.14
Mg  0.8030  0.8030  0.3553  7 Mg 2.87-3.11, 5 Mo 2.96-3.14
Mg  0.8755  0.8755  0.9785  6 Mg 2.80-3.11, 4 Mo 3.01-3.07
Mo  0.4738  0.4738  0.6651  1 Mo 2.48
Mo  0.5262  0.5262  0.3349  1 Mo 2.48

***

VASP calculation (PBE) on crystalline Be4TlIr at its relaxed geometry.

ΔH_f (0 K) = 0.044 eV/atom
SG = F-43m

Unit cell a=4.5757 b=4.5757 c=4.5757 alpha=60.00 beta=60.00 gamma=60.00
Last column: nearest neighbours and their distance in Å.
Fractional positions:
Be  0.1233  0.1233  0.1233  6 Be 2.26-2.32
Be  0.1233  0.1233  0.6302  6 Be 2.26-2.32
Be  0.1233  0.6302  0.1233  6 Be 2.26-2.32
Be  0.6302  0.1233  0.1233  6 Be 2.26-2.32
Tl  0.5000  0.5000  0.5000  12 Be 2.69, 4 Ir 2.80
Ir  0.7500  0.7500  0.7500  12 Be 2.68, 4 Tl 2.80

***

VASP calculation (PBE) on crystalline MoI2Br at its relaxed geometry.

SG = I-42d
electronic total energy = -3.800 eV per atom

Unit cell a=7.6517 b=7.6517 c=7.6517 alpha=97.21 beta=97.21 gamma=138.49
Last column: nearest neighbours and their distance in Å.
Fractional positions:
Mo  0.0000  0.0000  0.0000  2 Br 2.71, 4 I 2.85
Mo  0.7500  0.2500  0.5000  2 Br 2.71, 4 I 2.85
I  0.3750  0.2352  0.3602  2 Mo 2.85
I  0.7648  0.1250  0.1398  2 Mo 2.85
I  0.8750  0.0148  0.6398  2 Mo 2.85
I  0.9852  0.6250  0.8602  2 Mo 2.85
Br  0.2500  0.7500  0.5000  2 Mo 2.71
Br  0.5000  0.5000  0.0000  2 Mo 2.71

***

VASP calculation (PBE) on crystalline Er3TmTh2Sb6 at its relaxed geometry.

SG = C2/m
electronic total energy = -5.839 eV per atom

Unit cell a=9.8410 b=9.8410 c=8.7938 alpha=102.80 beta=102.80 gamma=25.92
Last column: nearest neighbours and their distance in Å.
Fractional positions:
Er  0.0000  0.0000  0.0000  6 Sb 3.08-3.12
Er  0.3321  0.3321  0.6657  6 Sb 3.06-3.11
Er  0.6679  0.6679  0.3343  6 Sb 3.06-3.11
Tm  0.0000  0.0000  0.5000  6 Sb 3.09-3.11
Th  0.3354  0.3354  0.1691  6 Sb 3.14-3.19
Th  0.6646  0.6646  0.8309  6 Sb 3.14-3.19
Sb  0.1646  0.1646  0.0898  3 Er 3.07-3.08, 3 Th 3.17-3.19
Sb  0.1656  0.1656  0.5745  3 Er 3.06-3.11, 1 Tm 3.09, 2 Th 3.16
Sb  0.4964  0.4964  0.7473  3 Er 3.07-3.12, 2 Tm 3.11, 1 Th 3.14
Sb  0.5036  0.5036  0.2527  3 Er 3.07-3.12, 2 Tm 3.11, 1 Th 3.14
Sb  0.8344  0.8344  0.4255  3 Er 3.06-3.11, 1 Tm 3.09, 2 Th 3.16
Sb  0.8354  0.8354  0.9102  3 Er 3.07-3.08, 3 Th 3.17-3.19

***

VASP calculation (PBE) on crystalline KMo2Os at its relaxed geometry.

ΔH_f (0 K) = 1.322 eV/atom
SG = Imm2

Unit cell a=5.7672 b=5.7672 c=5.7672 alpha=150.72 beta=126.82 gamma=61.86
Last column: nearest neighbours and their distance in Å.
Fractional positions:
K  0.0000  0.0000  0.0000  2 K 2.91, 6 Mo 2.96-3.16, 2 Os 3.14
Mo  0.2835  0.7835  0.5000  4 Mo 2.63-2.91
Mo  0.5044  0.5044  0.0000  2 Os 2.57, 2 Mo 2.63
Os  0.7186  0.2186  0.5000  2 Mo 2.57

***

VASP calculation (PBE) on crystalline Be2Pt at its relaxed geometry.

ΔH_f (0 K) = -0.462 eV/atom
SG = C2/m

Unit cell a=4.5168 b=4.5168 c=5.8672 alpha=108.88 beta=108.88 gamma=35.26
Last column: nearest neighbours and their distance in Å.
Fractional positions:
Be  0.0369  0.0369  0.2764  4 Be 2.35-2.39, 5 Pt 2.39-2.54
Be  0.3572  0.3572  0.9627  3 Pt 2.33-2.38, 7 Be 2.35-2.45
Be  0.6428  0.6428  0.0373  3 Pt 2.33-2.38, 7 Be 2.35-2.45
Be  0.9631  0.9631  0.7236  4 Be 2.35-2.39, 5 Pt 2.39-2.54
Pt  0.3279  0.3279  0.3424  8 Be 2.33-2.54
Pt  0.6721  0.6721  0.6576  8 Be 2.33-2.54

***

VASP calculation (PBE) on crystalline Na3LiRh at its relaxed geometry.

ΔH_f (0 K) = 0.797 eV/atom
SG = Pm-3m

Unit cell a=4.9459 b=4.9459 c=4.9459 alpha=90.00 beta=90.00 gamma=90.00
Last column: nearest neighbours and their distance in Å.
Fractional positions:
Na  0.0000  0.0000  0.5000  2 Li 2.47
Na  0.0000  0.5000  0.0000  2 Li 2.47
Na  0.5000  0.0000  0.0000  2 Li 2.47
Li  0.0000  0.0000  0.0000  6 Na 2.47
Rh  0.5000  0.5000  0.5000  12 Na 3.50

***

VASP calculation (PBE) on crystalline TaAsSCl2 at its relaxed geometry.

SG = P4/mmm
electronic total energy = -4.898 eV per atom

Unit cell a=4.9147 b=4.9147 c=4.8168 alpha=90.00 beta=90.00 gamma=90.00
Last column: nearest neighbours and their distance in Å.
Fractional positions:
Ta  0.0000  0.0000  0.0000  2 S 2.41, 4 Cl 2.46
As  0.5000  0.5000  0.5000  8 Cl 3.44, 4 S 3.48
S  0.0000  0.0000  0.5000  2 Ta 2.41
Cl  0.0000  0.5000  0.0000  2 Ta 2.46
Cl  0.5000  0.0000  0.0000  2 Ta 2.46

***

VASP calculation (PBE) on crystalline TcMo2Os at its relaxed geometry.

ΔH_f (0 K) = 0.199 eV/atom
SG = P2/m

Unit cell a=2.7160 b=4.3675 c=5.2181 alpha=90.00 beta=99.78 gamma=90.00
Last column: nearest neighbours and their distance in Å.
Fractional positions:
Tc  0.0000  0.0000  0.0000  4 Mo 2.66, 2 Tc 2.72, 2 Os 2.73
Mo  0.2075  0.5000  0.7472  4 Mo 2.63-2.84, 2 Tc 2.66, 2 Os 2.72
Mo  0.7925  0.5000  0.2528  4 Mo 2.63-2.84, 2 Tc 2.66, 2 Os 2.72
Os  0.5000  0.0000  0.5000  2 Os 2.72, 4 Mo 2.72, 2 Tc 2.73

***

VASP calculation (PBE) on crystalline LiTb3Pu3Te8 at its relaxed geometry.

SG = R-3m
electronic total energy = -6.788 eV per atom

Unit cell a=8.7792 b=8.7792 c=8.7792 alpha=60.02 beta=60.02 gamma=60.02
Last column: nearest neighbours and their distance in Å.
Fractional positions:
Li  0.0000  0.0000  0.0000  6 Te 3.09
Tb  0.0000  0.0000  0.5000  6 Te 3.08-3.09
Tb  0.0000  0.5000  0.0000  6 Te 3.08-3.09
Tb  0.5000  0.0000  0.0000  6 Te 3.08-3.09
Pu  0.0000  0.5000  0.5000  6 Te 3.12
Pu  0.5000  0.0000  0.5000  6 Te 3.12
Pu  0.5000  0.5000  0.0000  6 Te 3.12
Te  0.2454  0.7514  0.7514  2 Tb 3.08, 1 Li 3.09, 2 Pu 3.12
Te  0.2490  0.2490  0.2490  3 Tb 3.09, 3 Pu 3.12
Te  0.2486  0.2486  0.7546  2 Tb 3.08, 1 Li 3.09, 2 Pu 3.12
Te  0.2486  0.7546  0.2486  2 Tb 3.08, 1 Li 3.09, 2 Pu 3.12
Te  0.7514  0.2454  0.7514  2 Tb 3.08, 1 Li 3.09, 2 Pu 3.12
Te  0.7514  0.7514  0.2454  2 Tb 3.08, 1 Li 3.09, 2 Pu 3.12
Te  0.7510  0.7510  0.7510  3 Tb 3.09, 3 Pu 3.12
Te  0.7546  0.2486  0.2486  2 Tb 3.08, 1 Li 3.09, 2 Pu 3.12

***

VASP calculation (PBE) on crystalline ScRu2Rh at its relaxed geometry.

ΔH_f (0 K) = -0.217 eV/atom
SG = I-4m2

Unit cell a=4.8041 b=4.8041 c=4.8041 alpha=131.49 beta=131.49 gamma=71.03
Last column: nearest neighbours and their distance in Å.
Fractional positions:
Sc  0.0000  0.0000  0.0000  8 Ru 2.78-2.79, 4 Rh 2.78
Ru  0.2500  0.7500  0.5000  4 Ru 2.78, 4 Sc 2.78, 4 Rh 2.79
Ru  0.5000  0.5000  0.0000  4 Rh 2.78, 4 Ru 2.78, 4 Sc 2.79
Rh  0.7500  0.2500  0.5000  8 Ru 2.78-2.79, 4 Sc 2.78

***

VASP calculation (PBE) on crystalline Ho4ScTe5 at its relaxed geometry.

SG = I4
electronic total energy = -5.249 eV per atom

Unit cell a=7.4606 b=7.4606 c=7.4606 alpha=99.55 beta=99.55 gamma=131.92
Last column: nearest neighbours and their distance in Å.
Fractional positions:
Ho  0.0898  0.6848  0.7746  6 Te 3.03-3.16
Ho  0.3152  0.0898  0.4050  6 Te 3.03-3.16
Ho  0.6848  0.9102  0.5950  6 Te 3.03-3.16
Ho  0.9102  0.3152  0.2254  6 Te 3.03-3.16
Sc  0.4970  0.4970  0.0000  6 Te 2.94-3.04
Te  0.2147  0.3932  0.6080  1 Sc 2.94, 5 Ho 3.03-3.08
Te  0.3932  0.7853  0.1786  1 Sc 2.94, 5 Ho 3.03-3.08
Te  0.6067  0.2147  0.8214  1 Sc 2.94, 5 Ho 3.03-3.08
Te  0.7853  0.6067  0.3920  1 Sc 2.94, 5 Ho 3.03-3.08
Te  0.9979  0.9979  0.0000  2 Sc 3.03-3.04, 4 Ho 3.16

***

VASP calculation (PBE) on crystalline Y2InMoC at its relaxed geometry.

ΔH_f (0 K) = -0.302 eV/atom
SG = P4/mmm

Unit cell a=4.9673 b=4.9673 c=4.1665 alpha=90.00 beta=90.00 gamma=90.00
Last column: nearest neighbours and their distance in Å.
Fractional positions:
Y  0.0000  0.5000  0.0000  2 C 2.48
Y  0.5000  0.0000  0.0000  2 C 2.48
In  0.0000  0.0000  0.5000  8 Y 3.24, 4 Mo 3.51
Mo  0.5000  0.5000  0.5000  2 C 2.08
C  0.5000  0.5000  0.0000  2 Mo 2.08

***

VASP calculation (PBE) on crystalline Tb6Dy3Er2Pb at its relaxed geometry.

ΔH_f (0 K) = -0.047 eV/atom
SG = C2/m

Unit cell a=6.1057 b=6.1057 c=11.6605 alpha=95.04 beta=95.04 gamma=120.04
Last column: nearest neighbours and their distance in Å.
Fractional positions:
Tb  0.0819  0.4109  0.2476  1 Pb 3.48, 6 Tb 3.48-3.55, 2 Er 3.51, 3 Dy 3.53-3.55
Tb  0.2472  0.2472  0.7504  6 Tb 3.48-3.55, 1 Pb 3.51, 2 Er 3.51, 3 Dy 3.52-3.53
Tb  0.4109  0.0819  0.2476  1 Pb 3.48, 6 Tb 3.48-3.55, 2 Er 3.51, 3 Dy 3.53-3.55
Tb  0.5891  0.9181  0.7524  1 Pb 3.48, 6 Tb 3.48-3.55, 2 Er 3.51, 3 Dy 3.53-3.55
Tb  0.7528  0.7528  0.2496  6 Tb 3.48-3.55, 1 Pb 3.51, 2 Er 3.51, 3 Dy 3.52-3.53
Tb  0.9181  0.5891  0.7524  1 Pb 3.48, 6 Tb 3.48-3.55, 2 Er 3.51, 3 Dy 3.53-3.55
Dy  0.1677  0.8323  0.5000  6 Dy 3.51-3.55, 6 Tb 3.52-3.55
Dy  0.5000  0.5000  0.5000  6 Dy 3.52-3.53, 6 Tb 3.53
Dy  0.8323  0.1677  0.5000  6 Dy 3.51-3.55, 6 Tb 3.52-3.55
Er  0.3343  0.6657  0.0000  3 Er 3.51-3.53, 6 Tb 3.51, 3 Pb 3.52-3.54
Er  0.6657  0.3343  0.0000  3 Er 3.51-3.53, 6 Tb 3.51, 3 Pb 3.52-3.54
Pb  0.0000  0.0000  0.0000  6 Tb 3.48-3.51, 6 Er 3.52-3.54

***

VASP calculation (PBE) on crystalline NpCoGe2Os at its relaxed geometry.

ΔH_f (0 K) = -0.164 eV/atom
SG = I-4m2

Unit cell a=5.8810 b=5.8810 c=5.8810 alpha=139.42 beta=139.42 gamma=58.74
Last column: nearest neighbours and their distance in Å.
Fractional positions:
Np  0.0000  0.0000  0.0000  8 Ge 3.15, 4 Co 3.28, 4 Os 3.28
Co  0.7500  0.2500  0.5000  4 Ge 2.41
Ge  0.3754  0.3754  0.0000  2 Co 2.41, 2 Os 2.41, 1 Ge 2.55
Ge  0.6246  0.6246  0.0000  2 Os 2.41, 2 Co 2.41, 1 Ge 2.55
Os  0.2500  0.7500  0.5000  4 Ge 2.41

***

VASP calculation (PBE) on crystalline MgZn2Si2 at its relaxed geometry.

SG = I4/mmm
electronic total energy = -2.920 eV per atom

Unit cell a=5.9636 b=5.9636 c=5.9636 alpha=139.77 beta=139.77 gamma=58.20
Last column: nearest neighbours and their distance in Å.
Fractional positions:
Mg  0.0000  0.0000  0.0000  8 Si 3.12, 8 Zn 3.32
Zn  0.2500  0.7500  0.5000  4 Si 2.51
Zn  0.7500  0.2500  0.5000  4 Si 2.51
Si  0.3897  0.3897  0.0000  1 Si 2.30, 4 Zn 2.51
Si  0.6103  0.6103  0.0000  1 Si 2.30, 4 Zn 2.51

***

VASP calculation (PBE) on crystalline ZnSiGePd2 at its relaxed geometry.

SG = P4/mmm
electronic total energy = -3.835 eV per atom

Unit cell a=4.7205 b=4.7205 c=4.3408 alpha=90.00 beta=90.00 gamma=90.00
Last column: nearest neighbours and their distance in Å.
Fractional positions:
Zn  0.0000  0.0000  0.0000  2 Si 2.17, 4 Pd 2.36
Si  0.0000  0.0000  0.5000  2 Zn 2.17
Ge  0.5000  0.5000  0.5000  8 Pd 3.21, 4 Si 3.34
Pd  0.0000  0.5000  0.0000  2 Zn 2.36
Pd  0.5000  0.0000  0.0000  2 Zn 2.36

***

What did we get for DOS at the Fermi energy? Answer: 1.270, 0.445, 0.623, 0.237, 0.175, 0.370, 1.081, 0.344, 0.737, 0.373, 1.148, 2.758, 1.413, 0.551, 0.585, 1.259, 2.858, 0.356, 0.327 states/eV/atom, in the order shown.